(1)
Density functional theory data (GGA-PBE) for LiCo2Ag after structural relaxation.

abc: 2.7890 2.7890 6.9503
angles: 90.00 90.00 90.00
Closest atoms and distances in Å follow each position.
Sites, in units of the cell vectors:
Ag1 0.5000 0.5000 0.7567  4 Li 2.77, 4 Ag 2.79, 4 Co 2.80
Co1 0.0000 0.0000 0.0426  4 Co 2.34
Co2 0.5000 0.5000 0.2238  4 Co 2.34
Li1 0.0000 0.0000 0.4770  4 Co 2.64, 4 Ag 2.77, 4 Li 2.79

## Properties
magnetization: 3.27 μB per formula unit
energy relative to the elements: 0.146 eV per atom
DOS(E_F): 0.75 states/eV/atom
space group: No. 99

***

(2)
Density functional theory data (GGA-PBE) for Sr2BiPd2 after structural relaxation.

abc: 3.9229 3.9229 9.7090
angles: 78.34 78.34 90.00
Closest atoms and distances in Å follow each position.
Sites, in units of the cell vectors:
Sr1 0.3790 0.3790 0.2421  4 Pd 3.10
Sr2 0.6210 0.6210 0.7579  4 Pd 3.10
Bi1 0.0000 0.0000 0.0000  8 Sr 3.57, 4 Bi 3.92
Pd1 0.7500 0.2500 0.5000  4 Pd 2.77, 4 Sr 3.10
Pd2 0.2500 0.7500 0.5000  4 Pd 2.77, 4 Sr 3.10

## Properties
magnetization: 0.00 μB per formula unit
energy relative to the elements: -0.534 eV per atom
DOS(E_F): 0.49 states/eV/atom
space group: No. 139

***

(3)
Density functional theory data (GGA-PBE) for Ac5Sm2Ir4 after structural relaxation.

abc: 4.1764 7.8178 11.6069
angles: 109.29 100.36 90.00
Closest atoms and distances in Å follow each position.
Sites, in units of the cell vectors:
Ac1 0.8296 0.5797 0.6591  4 Ir 3.01-3.35
Ac2 0.1704 0.4203 0.3409  4 Ir 3.01-3.35
Ac3 0.8243 0.0548 0.6487  3 Ir 2.98-3.11
Ac4 0.5000 0.0000 0.0000  4 Ir 3.18
Ac5 0.1757 0.9452 0.3513  3 Ir 2.98-3.11
Sm1 0.4308 0.4099 0.8617  5 Ir 2.91-3.16, 1 Sm 3.00
Sm2 0.5692 0.5901 0.1383  5 Ir 2.91-3.16, 1 Sm 3.00
Ir1 0.2951 0.2862 0.5901  1 Sm 2.92, 5 Ac 2.98-3.11
Ir2 0.9794 0.6792 0.9589  4 Sm 2.91-3.16, 3 Ac 3.18-3.25, 1 Ir 3.24
Ir3 0.7049 0.7138 0.4099  1 Sm 2.92, 5 Ac 2.98-3.11
Ir4 0.0206 0.3208 0.0411  4 Sm 2.91-3.16, 3 Ac 3.18-3.25, 1 Ir 3.24

## Properties
magnetization: 0.00 μB per formula unit
energy relative to the elements: -0.489 eV per atom
DOS(E_F): 0.71 states/eV/atom
space group: No. 12

***

(4)
Density functional theory data (GGA-PBE) for Tb3Th5H12 after structural relaxation.

abc: 11.5964 11.5964 11.5964
angles: 109.47 109.47 109.47
Closest atoms and distances in Å follow each position.
Sites, in units of the cell vectors:
Tb1 0.7500 0.3750 0.1250  8 H 2.28-2.40
Tb2 0.8750 0.7500 0.1250  8 H 2.28-2.40
Tb3 0.3750 0.7500 0.6250  8 H 2.28-2.40
Tb4 0.2500 0.1250 0.3750  8 H 2.28-2.40
Tb5 0.8750 0.1250 0.2500  8 H 2.28-2.40
Tb6 0.3750 0.6250 0.2500  8 H 2.28-2.40
Tb7 0.6250 0.3750 0.7500  8 H 2.28-2.40
Tb8 0.1250 0.8750 0.7500  8 H 2.28-2.40
Tb9 0.7500 0.8750 0.6250  8 H 2.28-2.40
Tb10 0.6250 0.2500 0.3750  8 H 2.28-2.40
Tb11 0.1250 0.2500 0.8750  8 H 2.28-2.40
Tb12 0.2500 0.6250 0.8750  8 H 2.28-2.40
Th1 0.1250 0.3750 0.2500  4 H 2.34
Th2 0.0000 0.5000 0.0000  6 H 2.31
Th3 0.0000 0.0000 0.0000  6 H 2.31
Th4 0.3750 0.2500 0.1250  4 H 2.34
Th5 0.5000 0.0000 0.5000  6 H 2.31
Th6 0.5000 0.5000 0.0000  6 H 2.31
Th7 0.1250 0.7500 0.3750  4 H 2.34
Th8 0.7500 0.1250 0.8750  4 H 2.34
Th9 0.7500 0.6250 0.3750  4 H 2.34
Th10 0.3750 0.1250 0.7500  4 H 2.34
Th11 0.6250 0.8750 0.2500  4 H 2.34
Th12 0.5000 0.5000 0.5000  6 H 2.31
Th13 0.5000 0.0000 0.0000  6 H 2.31
Th14 0.0000 0.0000 0.5000  6 H 2.31
Th15 0.2500 0.3750 0.6250  4 H 2.34
Th16 0.2500 0.8750 0.1250  4 H 2.34
Th17 0.0000 0.5000 0.5000  6 H 2.31
Th18 0.8750 0.2500 0.6250  4 H 2.34
Th19 0.6250 0.7500 0.8750  4 H 2.34
Th20 0.8750 0.6250 0.7500  4 H 2.34
H1 0.7294 0.1589 0.0760  1 H 2.21, 2 Tb 2.28-2.40, 2 Th 2.31-2.34
H2 0.3466 0.5760 0.4171  1 H 2.21, 2 Tb 2.28-2.40, 2 Th 2.31-2.34
H3 0.9240 0.3411 0.2706  1 H 2.21, 2 Tb 2.28-2.40, 2 Th 2.31-2.34
H4 0.5760 0.2294 0.1589  1 H 2.21, 2 Tb 2.28-2.40, 2 Th 2.31-2.34
H5 0.5705 0.7294 0.6534  1 H 2.21, 2 Tb 2.28-2.40, 2 Th 2.31-2.34
H6 0.9240 0.5829 0.1534  1 H 2.21, 2 Tb 2.28-2.40, 2 Th 2.31-2.34
H7 0.3466 0.7706 0.4295  1 H 2.21, 2 Tb 2.28-2.40, 2 Th 2.31-2.34
H8 0.0829 0.9295 0.1589  1 H 2.21, 2 Tb 2.28-2.40, 2 Th 2.31-2.34
H9 0.5829 0.9240 0.6534  1 H 2.21, 2 Tb 2.28-2.40, 2 Th 2.31-2.34
H10 0.7294 0.5705 0.1534  1 H 2.21, 2 Tb 2.28-2.40, 2 Th 2.31-2.34
H11 0.7706 0.4240 0.3411  1 H 2.21, 2 Tb 2.28-2.40, 2 Th 2.31-2.34
H12 0.8466 0.9171 0.0760  1 H 2.21, 2 Tb 2.28-2.40, 2 Th 2.31-2.34
H13 0.1589 0.7294 0.5760  1 H 2.21, 2 Tb 2.28-2.40, 2 Th 2.31-2.34
H14 0.3411 0.4171 0.0705  1 H 2.21, 2 Tb 2.28-2.40, 2 Th 2.31-2.34
H15 0.0705 0.9171 0.3411  1 H 2.21, 2 Tb 2.28-2.40, 2 Th 2.31-2.34
H16 0.4295 0.1589 0.5829  1 H 2.21, 2 Tb 2.28-2.40, 2 Th 2.31-2.34
H17 0.0705 0.1534 0.2294  1 H 2.21, 2 Tb 2.28-2.40, 2 Th 2.31-2.34
H18 0.4240 0.6534 0.0829  1 H 2.21, 2 Tb 2.28-2.40, 2 Th 2.31-2.34
H19 0.8466 0.9295 0.2706  1 H 2.21, 2 Tb 2.28-2.40, 2 Th 2.31-2.34
H20 0.1589 0.4295 0.0829  1 H 2.21, 2 Tb 2.28-2.40, 2 Th 2.31-2.34
H21 0.3411 0.9240 0.7706  1 H 2.21, 2 Tb 2.28-2.40, 2 Th 2.31-2.34
H22 0.5829 0.6589 0.4295  1 H 2.21, 2 Tb 2.28-2.40, 2 Th 2.31-2.34
H23 0.9171 0.8466 0.5760  1 H 2.21, 2 Tb 2.28-2.40, 2 Th 2.31-2.34
H24 0.7706 0.3466 0.9295  1 H 2.21, 2 Tb 2.28-2.40, 2 Th 2.31-2.34
H25 0.4171 0.3411 0.5705  1 H 2.21, 2 Tb 2.28-2.40, 2 Th 2.31-2.34
H26 0.0829 0.1534 0.4240  1 H 2.21, 2 Tb 2.28-2.40, 2 Th 2.31-2.34
H27 0.2294 0.6534 0.0705  1 H 2.21, 2 Tb 2.28-2.40, 2 Th 2.31-2.34
H28 0.1534 0.0705 0.7294  1 H 2.21, 2 Tb 2.28-2.40, 2 Th 2.31-2.34
H29 0.6589 0.0760 0.2294  1 H 2.21, 2 Tb 2.28-2.40, 2 Th 2.31-2.34
H30 0.8411 0.5705 0.9171  1 H 2.21, 2 Tb 2.28-2.40, 2 Th 2.31-2.34
H31 0.5760 0.3466 0.9171  1 H 2.21, 2 Tb 2.28-2.40, 2 Th 2.31-2.34
H32 0.5705 0.8411 0.4171  1 H 2.21, 2 Tb 2.28-2.40, 2 Th 2.31-2.34
H33 0.9295 0.8466 0.7706  1 H 2.21, 2 Tb 2.28-2.40, 2 Th 2.31-2.34
H34 0.9295 0.0829 0.6589  1 H 2.21, 2 Tb 2.28-2.40, 2 Th 2.31-2.34
H35 0.8411 0.2706 0.4240  1 H 2.21, 2 Tb 2.28-2.40, 2 Th 2.31-2.34
H36 0.1534 0.0829 0.9240  1 H 2.21, 2 Tb 2.28-2.40, 2 Th 2.31-2.34
H37 0.6589 0.5829 0.9295  1 H 2.21, 2 Tb 2.28-2.40, 2 Th 2.31-2.34
H38 0.4171 0.0760 0.3466  1 H 2.21, 2 Tb 2.28-2.40, 2 Th 2.31-2.34
H39 0.2706 0.4295 0.8466  1 H 2.21, 2 Tb 2.28-2.40, 2 Th 2.31-2.34
H40 0.2294 0.5760 0.6589  1 H 2.21, 2 Tb 2.28-2.40, 2 Th 2.31-2.34
H41 0.9171 0.0705 0.8411  1 H 2.21, 2 Tb 2.28-2.40, 2 Th 2.31-2.34
H42 0.6534 0.2294 0.5705  1 H 2.21, 2 Tb 2.28-2.40, 2 Th 2.31-2.34
H43 0.4240 0.7706 0.8411  1 H 2.21, 2 Tb 2.28-2.40, 2 Th 2.31-2.34
H44 0.0760 0.4171 0.8466  1 H 2.21, 2 Tb 2.28-2.40, 2 Th 2.31-2.34
H45 0.4295 0.2706 0.3466  1 H 2.21, 2 Tb 2.28-2.40, 2 Th 2.31-2.34
H46 0.0760 0.6589 0.7294  1 H 2.21, 2 Tb 2.28-2.40, 2 Th 2.31-2.34
H47 0.6534 0.4240 0.5829  1 H 2.21, 2 Tb 2.28-2.40, 2 Th 2.31-2.34
H48 0.2706 0.8411 0.9240  1 H 2.21, 2 Tb 2.28-2.40, 2 Th 2.31-2.34

## Properties
magnetization: 0.00 μB per formula unit
E_tot: -0.182 hartree per atom
DOS(E_F): 0.56 states/eV/atom
space group: No. 230

***

(5)
Density functional theory data (GGA-PBE) for Pr2Zn3Pd2 after structural relaxation.

abc: 4.3021 5.5187 7.2097
angles: 111.44 90.00 112.94
Closest atoms and distances in Å follow each position.
Sites, in units of the cell vectors:
Pr1 0.8555 0.7110 0.2376  4 Pd 2.94-3.23, 3 Zn 3.15-3.16
Pr2 0.1445 0.2890 0.7624  4 Pd 2.94-3.23, 3 Zn 3.15-3.16
Zn1 0.5000 0.0000 0.0000  4 Pd 2.66, 2 Zn 2.88
Zn2 0.6283 0.2566 0.4346  3 Pd 2.73-2.75, 1 Zn 2.88
Zn3 0.3717 0.7434 0.5654  3 Pd 2.73-2.75, 1 Zn 2.88
Pd1 0.8647 0.7295 0.7949  5 Zn 2.66-2.75, 1 Pr 2.94
Pd2 0.1353 0.2705 0.2051  5 Zn 2.66-2.75, 1 Pr 2.94

## Properties
magnetization: 0.00 μB per formula unit
energy relative to the elements: -0.595 eV per atom
DOS(E_F): 0.55 states/eV/atom
space group: No. 12

***

(6)
Density functional theory data (GGA-PBE) for KCaHgF5 after structural relaxation.

abc: 6.5757 6.5757 8.2901
angles: 100.55 100.55 112.50
Closest atoms and distances in Å follow each position.
Sites, in units of the cell vectors:
K1 0.3196 0.6804 0.2500  5 F 2.66-2.86
K2 0.6804 0.3196 0.7500  5 F 2.66-2.86
Ca1 0.0000 0.0000 0.5000  6 F 2.23-2.31
Ca2 0.0000 0.0000 0.0000  6 F 2.23-2.31
Hg1 0.6655 0.3345 0.2500  4 F 2.20-2.22
Hg2 0.3345 0.6655 0.7500  4 F 2.20-2.22
F1 0.0764 0.9236 0.2500  2 Ca 2.23
F2 0.9236 0.0764 0.7500  2 Ca 2.23
F3 0.8910 0.2852 0.0930  1 Hg 2.22, 1 Ca 2.31
F4 0.1090 0.7148 0.9070  1 Hg 2.22, 1 Ca 2.31
F5 0.7148 0.1090 0.4070  1 Hg 2.22, 1 Ca 2.31
F6 0.2852 0.8910 0.5930  1 Hg 2.22, 1 Ca 2.31
F7 0.7044 0.6448 0.4330  1 Hg 2.20, 1 Ca 2.28
F8 0.2956 0.3552 0.5670  1 Hg 2.20, 1 Ca 2.28
F9 0.3552 0.2956 0.0670  1 Hg 2.20, 1 Ca 2.28
F10 0.6448 0.7044 0.9330  1 Hg 2.20, 1 Ca 2.28

## Properties
magnetization: 0.00 μB per formula unit
DOS(E_F): 0.00 states/eV/atom
space group: No. 15
formation energy from raw total energies: -2.66 eV/atom

***

(7)
Density functional theory data (GGA-PBE) for PaSnAs2O8 after structural relaxation.

abc: 5.3516 5.3516 7.8400
angles: 91.11 91.11 66.73
Closest atoms and distances in Å follow each position.
Sites, in units of the cell vectors:
Pa1 0.0000 0.0000 0.0000  6 O 2.20-2.31
Sn1 0.0000 0.0000 0.5000  2 O 2.39
As1 0.6470 0.6470 0.2447  4 O 1.68-1.75
As2 0.3530 0.3530 0.7553  4 O 1.68-1.75
O1 0.7076 0.2215 0.7793  1 As 1.75
O2 0.7628 0.7628 0.0705  1 As 1.73
O3 0.7377 0.7377 0.4354  1 As 1.68
O4 0.2623 0.2623 0.5646  1 As 1.68
O5 0.2372 0.2372 0.9295  1 As 1.73
O6 0.2215 0.7076 0.7793  1 As 1.75
O7 0.7785 0.2924 0.2207  1 As 1.75
O8 0.2924 0.7785 0.2207  1 As 1.75

## Properties
magnetization: 0.99 μB per formula unit
DOS(E_F): 0.34 states/eV/atom
space group: No. 12
formation energy from raw total energies: -1.76 eV/atom

***

(8)
Density functional theory data (GGA-PBE) for LaPrBeN2 after structural relaxation.

abc: 5.1743 5.3158 6.9301
angles: 90.00 90.00 90.00
Closest atoms and distances in Å follow each position.
Sites, in units of the cell vectors:
La1 0.0006 0.5000 0.7500  4 N 2.55-2.56
La2 0.9994 0.5000 0.2500  4 N 2.55-2.56
Pr1 0.4998 0.0000 0.2500  4 N 2.56
Pr2 0.5002 0.0000 0.7500  4 N 2.56
Be1 0.0000 0.0000 0.0000  2 N 1.55
Be2 0.0000 0.0000 0.5000  2 N 1.55
N1 0.7918 0.7892 0.9999  1 Be 1.55
N2 0.7918 0.2108 0.5001  1 Be 1.55
N3 0.2082 0.7892 0.4999  1 Be 1.55
N4 0.2082 0.2108 0.0001  1 Be 1.55

## Properties
magnetization: 0.00 μB per formula unit
DOS(E_F): 0.57 states/eV/atom
space group: No. 13
formation energy from raw total energies: -0.83 eV/atom

***

(9)
Density functional theory data (GGA-PBE) for CaH3Os after structural relaxation.

abc: 3.7166 3.7166 3.7166
angles: 90.00 90.00 90.00
Closest atoms and distances in Å follow each position.
Sites, in units of the cell vectors:
H1 0.0000 0.5000 0.0000  2 Ca 1.86
H2 0.0000 0.0000 0.5000  2 Ca 1.86
H3 0.5000 0.0000 0.0000  2 Ca 1.86
Ca1 0.0000 0.0000 0.0000  6 H 1.86
Os1 0.5000 0.5000 0.5000  12 H 2.63

## Properties
magnetization: 0.00 μB per formula unit
E_tot: -0.127 hartree per atom
DOS(E_F): 0.37 states/eV/atom
space group: No. 221

***

(10)
Density functional theory data (GGA-PBE) for Pm3CoSb after structural relaxation.

abc: 4.1484 8.2740 8.6039
angles: 107.40 90.00 90.00
Closest atoms and distances in Å follow each position.
Sites, in units of the cell vectors:
Pm1 0.7500 0.6733 0.4099  3 Co 2.94-3.08, 3 Sb 3.20-3.27
Pm2 0.2500 0.3267 0.5901  3 Co 2.94-3.08, 3 Sb 3.20-3.27
Pm3 0.7500 0.3069 0.9297  3 Sb 3.22-3.25, 1 Co 3.31
Pm4 0.2500 0.9187 0.7524  3 Co 2.76-3.04
Pm5 0.2500 0.6931 0.0703  3 Sb 3.22-3.25, 1 Co 3.31
Pm6 0.7500 0.0813 0.2476  3 Co 2.76-3.04
Co1 0.2500 0.9574 0.4445  2 Co 2.30
Co2 0.7500 0.0426 0.5555  2 Co 2.30
Sb1 0.2500 0.3830 0.2292  8 Pm 3.20-3.29
Sb2 0.7500 0.6170 0.7708  8 Pm 3.20-3.29

## Properties
magnetization: 0.58 μB per formula unit
DOS(E_F): 1.04 states/eV/atom
space group: No. 11
formation energy from raw total energies: -0.50 eV/atom

***

(11)
Density functional theory data (GGA-PBE) for Cs3LiIn2Br9 after structural relaxation.

abc: 7.9062 7.9062 9.7307
angles: 90.00 90.00 120.00
Closest atoms and distances in Å follow each position.
Sites, in units of the cell vectors:
Cs1 0.3333 0.6667 0.6615  12 Br 3.95-4.01
Cs2 0.0000 0.0000 0.0000  12 Br 3.94-3.95
Cs3 0.6667 0.3333 0.3385  12 Br 3.95-4.01
Li1 0.0000 0.0000 0.5000  6 Br 2.80
In1 0.3333 0.6667 0.1775  6 Br 2.74-2.86
In2 0.6667 0.3333 0.8225  6 Br 2.74-2.86
Br1 0.8343 0.1657 0.6685  1 In 2.74, 1 Li 2.80
Br2 0.8343 0.6685 0.6685  1 In 2.74, 1 Li 2.80
Br3 0.3315 0.1657 0.6685  1 In 2.74, 1 Li 2.80
Br4 0.6685 0.8343 0.3315  1 In 2.74, 1 Li 2.80
Br5 0.1657 0.3315 0.3315  1 In 2.74, 1 Li 2.80
Br6 0.1657 0.8343 0.3315  1 In 2.74, 1 Li 2.80
Br7 0.5000 0.0000 0.0000  2 In 2.86
Br8 0.0000 0.5000 0.0000  2 In 2.86
Br9 0.5000 0.5000 0.0000  2 In 2.86

## Properties
magnetization: 0.00 μB per formula unit
DOS(E_F): 0.14 states/eV/atom
space group: No. 164
formation energy from raw total energies: -1.31 eV/atom

***

(12)
Density functional theory data (GGA-PBE) for Pm3Er4Hg after structural relaxation.

abc: 3.5867 3.5867 19.0490
angles: 90.00 90.00 90.00
Closest atoms and distances in Å follow each position.
Sites, in units of the cell vectors:
Er1 0.0000 0.0000 0.8969  4 Hg 3.21, 4 Pm 3.58, 4 Er 3.59
Er2 0.0000 0.0000 0.1031  4 Hg 3.21, 4 Pm 3.58, 4 Er 3.59
Er3 0.0000 0.0000 0.3675  8 Pm 3.57-3.58, 4 Er 3.59
Er4 0.0000 0.0000 0.6325  8 Pm 3.57-3.58, 4 Er 3.59
Hg1 0.5000 0.5000 0.0000  8 Er 3.21, 4 Hg 3.59
Pm1 0.5000 0.5000 0.2354  8 Er 3.57-3.58, 4 Pm 3.59
Pm2 0.5000 0.5000 0.5000  8 Er 3.58, 4 Pm 3.59
Pm3 0.5000 0.5000 0.7646  8 Er 3.57-3.58, 4 Pm 3.59

## Properties
magnetization: 0.00 μB per formula unit
energy relative to the elements: -0.110 eV per atom
DOS(E_F): 1.17 states/eV/atom
space group: No. 123